The following is a PBE calculation of an optimized crystal structure of Sm5Al4Cd, from the Alexandria database.

```
Sm5Al4Cd
1.0
3.6816 0.0000 0.0000
0.0000 3.6816 0.0000
0.0000 0.0000 18.8120
Sm Al Cd
5 4 1
Direct
0.5000 0.5000 0.1087
0.5000 0.5000 0.3051
0.5000 0.5000 0.5000
0.5000 0.5000 0.6949
0.5000 0.5000 0.8913
0.0000 0.0000 0.2054
0.0000 0.0000 0.4027
0.0000 0.0000 0.5973
0.0000 0.0000 0.7946
0.0000 0.0000 0.0000
```

Calculated values
Energy of formation from the pure elements, kJ/mol of formula units: -351
Calculated volume, Å³ per atom: 25.5